No. 1
The following is a DFT calculation (PBE-GGA) of a relaxed structure of ScIr2Rh.

Cell: 4.8270 4.8270 4.8022 Å, 100.28 100.28 34.31°
Last column: nearest neighbours and their distance in Å.
Fractional coordinates of all 4 atoms:
Sc 0.0000 0.0000 0.0000  3 Rh 2.73-2.80, 7 Ir 2.77-2.88, 2 Sc 2.85
Ir 0.2461 0.2461 0.7100  4 Rh 2.68-2.90, 5 Ir 2.68-2.85, 3 Sc 2.87-2.88
Ir 0.5027 0.5027 0.5072  5 Ir 2.68-2.85, 4 Sc 2.77-2.82, 3 Rh 2.80-2.85
Rh 0.7536 0.7536 0.2394  7 Ir 2.68-2.90, 3 Sc 2.73-2.80, 2 Rh 2.85

---

No. 2
The following is a DFT calculation (PBE-GGA) of a relaxed structure of Pr2SmZr.

Cell: 12.4781 12.4781 12.4781 Å, 15.89 15.89 15.89°
Last column: nearest neighbours and their distance in Å.
Fractional coordinates of all 4 atoms:
Pr 0.0846 0.0846 0.0846  1 Zr 3.13, 6 Pr 3.45
Pr 0.9154 0.9154 0.9154  1 Zr 3.13, 6 Pr 3.45
Sm 0.5000 0.5000 0.5000  6 Sm 3.45, 6 Pr 3.63
Zr 0.0000 0.0000 0.0000  2 Pr 3.13, 6 Zr 3.45

Calculated values
The relative energy among the computed polymorphs comes out at 198 meV/atom.

---

No. 3
The following is a DFT calculation (PBE-GGA) of a relaxed structure of Sr2YTl.

Cell: 6.4896 6.4896 6.4896 Å, 133.47 133.47 67.92°
Last column: nearest neighbours and their distance in Å.
Fractional coordinates of all 4 atoms:
Sr 0.2500 0.7500 0.5000  4 Sr 3.63, 4 Tl 3.72, 4 Y 3.72
Sr 0.7500 0.2500 0.5000  4 Sr 3.63, 4 Tl 3.72, 4 Y 3.72
Y 0.0000 0.0000 0.0000  4 Tl 3.63, 8 Sr 3.72
Tl 0.5000 0.5000 0.0000  4 Y 3.63, 8 Sr 3.72

Calculated values
The relative energy among the computed polymorphs comes out at 119 meV/atom.

---

No. 4
The following is a DFT calculation (PBE-GGA) of a relaxed structure of LiY2Sn3Se6.

Cell: 9.4659 9.4659 8.3679 Å, 104.94 104.94 26.19°
Last column: nearest neighbours and their distance in Å.
Fractional coordinates of all 12 atoms:
Li 0.0000 0.0000 0.0000  6 Se 2.93-2.94
Y 0.3350 0.3350 0.6712  6 Se 2.83-2.93
Y 0.6650 0.6650 0.3288  6 Se 2.83-2.93
Sn 0.0000 0.0000 0.5000  6 Se 3.05-3.07
Sn 0.3411 0.3411 0.1444  4 Se 2.89-3.16
Sn 0.6589 0.6589 0.8556  4 Se 2.89-3.16
Se 0.1652 0.1652 0.0905  3 Sn 2.89-3.16, 2 Y 2.93, 1 Li 2.94
Se 0.1710 0.1710 0.5692  3 Y 2.92, 1 Sn 3.05
Se 0.4941 0.4941 0.7585  1 Y 2.83, 2 Li 2.93, 3 Sn 2.93-3.07
Se 0.5059 0.5059 0.2415  1 Y 2.83, 2 Li 2.93, 3 Sn 2.93-3.07
Se 0.8290 0.8290 0.4308  3 Y 2.92, 1 Sn 3.05
Se 0.8348 0.8348 0.9095  3 Sn 2.89-3.16, 2 Y 2.93, 1 Li 2.94

Calculated values
The formation energy without anion corrections comes out at -1.00 eV/atom.

---

No. 5
The following is a DFT calculation (PBE-GGA) of a relaxed structure of HfBeIr3.

Cell: 4.8002 4.8002 4.8002 Å, 90.00 90.00 90.00°
Last column: nearest neighbours and their distance in Å.
Fractional coordinates of all 5 atoms:
Hf 0.0000 0.0000 0.0000  6 Ir 2.40
Be 0.5000 0.5000 0.5000  12 Ir 3.39
Ir 0.0000 0.0000 0.5000  2 Hf 2.40
Ir 0.0000 0.5000 0.0000  2 Hf 2.40
Ir 0.5000 0.0000 0.0000  2 Hf 2.40

Calculated values
The relative energy among the computed polymorphs comes out at 2285 meV/atom.

---

No. 6
The following is a DFT calculation (PBE-GGA) of a relaxed structure of CaNiH3.

Cell: 8.4294 8.4294 8.4294 Å, 155.12 155.12 35.47°
Last column: nearest neighbours and their distance in Å.
Fractional coordinates of all 10 atoms:
Ca 0.1082 0.1082 0.0000  8 H 2.34-2.54
Ca 0.8918 0.8918 0.0000  8 H 2.34-2.54
Ni 0.5000 0.5000 0.0000  4 H 1.82
Ni 0.7500 0.2500 0.5000  4 H 1.55
H 0.0023 0.5023 0.5000  2 Ni 1.82
H 0.0996 0.3240 0.7757  1 Ni 1.55, 1 H 1.63
H 0.4977 0.9977 0.5000  2 Ni 1.82
H 0.5483 0.3240 0.2243  1 Ni 1.55, 1 H 1.63
H 0.6760 0.4517 0.7757  1 Ni 1.55, 1 H 1.63
H 0.6760 0.9004 0.2243  1 Ni 1.55, 1 H 1.63

---

No. 7
The following is a DFT calculation (PBE-GGA) of a relaxed structure of CdFe.

Cell: 4.8315 4.8315 4.8315 Å, 130.06 130.06 73.30°
Last column: nearest neighbours and their distance in Å.
Fractional coordinates of all 4 atoms:
Cd 0.3750 0.6250 0.7500  4 Cd 2.81, 8 Fe 2.81-2.88
Cd 0.6250 0.3750 0.2500  8 Fe 2.81-2.88, 4 Cd 2.81
Fe 0.1250 0.8750 0.2500  8 Cd 2.81-2.88, 4 Fe 2.81
Fe 0.8750 0.1250 0.7500  8 Cd 2.81-2.88, 4 Fe 2.81

---

No. 8
The following is a DFT calculation (PBE-GGA) of a relaxed structure of YCrOs2.

Cell: 5.1430 5.1430 4.9415 Å, 106.14 106.14 34.01°
Last column: nearest neighbours and their distance in Å.
Fractional coordinates of all 4 atoms:
Y 0.0000 0.0000 0.0000  6 Os 2.85-3.07, 3 Cr 2.95-3.14, 2 Y 3.01
Cr 0.2165 0.2165 0.6925  4 Os 2.46-2.60
Os 0.4947 0.4947 0.4867  2 Cr 2.60, 2 Os 2.62, 2 Y 2.85
Os 0.7669 0.7669 0.3391  2 Cr 2.46, 2 Os 2.62

Calculated values
The relative energy among the computed polymorphs comes out at 166 meV/atom.

---

No. 9
The following is a DFT calculation (PBE-GGA) of a relaxed structure of CsLaO2.

Cell: 3.7709 3.7709 7.3645 Å, 105.18 105.18 60.00°
Last column: nearest neighbours and their distance in Å.
Fractional coordinates of all 4 atoms:
Cs 0.0000 0.0000 0.0000  6 O 3.10-3.30
La 0.1661 0.1661 0.5103  6 O 2.46-2.50
O 0.5594 0.5594 0.6851  3 La 2.50
O 0.7775 0.7775 0.3464  3 La 2.46

Calculated values
The formation energy without anion corrections comes out at -2.55 eV/atom.

---

No. 10
The following is a DFT calculation (PBE-GGA) of a relaxed structure of GaCu2PO.

Cell: 4.2569 4.2569 4.9814 Å, 90.00 90.00 90.00°
Last column: nearest neighbours and their distance in Å.
Fractional coordinates of all 5 atoms:
Ga 0.0000 0.0000 0.0000  2 P 2.49
Cu 0.0000 0.5000 0.5000  2 P 2.13
Cu 0.5000 0.0000 0.5000  2 P 2.13
P 0.0000 0.0000 0.5000  4 Cu 2.13
O 0.5000 0.5000 0.0000  4 Ga 3.01, 8 Cu 3.28

Calculated values
The formation energy without anion corrections comes out at 0.40 eV/atom.

---

No. 11
The following is a DFT calculation (PBE-GGA) of a relaxed structure of Cd2AgIr.

Cell: 4.6781 4.6781 4.6781 Å, 60.00 60.00 60.00°
Last column: nearest neighbours and their distance in Å.
Fractional coordinates of all 4 atoms:
Cd 0.0000 0.0000 0.0000  4 Ag 2.86, 4 Cd 2.86
Cd 0.2500 0.2500 0.2500  4 Cd 2.86, 4 Ir 2.86
Ag 0.7500 0.7500 0.7500  4 Cd 2.86, 4 Ir 2.86
Ir 0.5000 0.5000 0.5000  4 Ag 2.86, 4 Cd 2.86

---

No. 12
The following is a DFT calculation (PBE-GGA) of a relaxed structure of Tl2SF6.

Cell: 6.1987 6.1987 6.1987 Å, 60.00 60.00 60.00°
Last column: nearest neighbours and their distance in Å.
Fractional coordinates of all 9 atoms:
Tl 0.2500 0.2500 0.2500  12 F 3.12
Tl 0.7500 0.7500 0.7500  12 F 3.12
S 0.0000 0.0000 0.0000  6 F 1.88
F 0.2143 0.2143 0.7857  1 S 1.88
F 0.2143 0.7857 0.2143  1 S 1.88
F 0.2143 0.7857 0.7857  1 S 1.88
F 0.7857 0.2143 0.2143  1 S 1.88
F 0.7857 0.2143 0.7857  1 S 1.88
F 0.7857 0.7857 0.2143  1 S 1.88

Calculated values
The formation energy without anion corrections comes out at -1.63 eV/atom. The relative energy among the computed polymorphs comes out at 0 meV/atom.

---

No. 13
The following is a DFT calculation (PBE-GGA) of a relaxed structure of Ac4Tm3Pb5.

Cell: 7.5083 7.5083 13.0200 Å, 114.01 114.01 42.98°
Last column: nearest neighbours and their distance in Å.
Fractional coordinates of all 12 atoms:
Ac 0.1234 0.1234 0.3287  3 Pb 3.36-3.60
Ac 0.1345 0.1345 0.9910  7 Pb 3.51-3.85, 1 Tm 3.78, 1 Ac 3.87
Ac 0.8655 0.8655 0.0090  7 Pb 3.51-3.85, 1 Tm 3.78, 1 Ac 3.87
Ac 0.8766 0.8766 0.6713  3 Pb 3.36-3.60
Tm 0.1826 0.1826 0.7270  4 Pb 2.94-3.13
Tm 0.5000 0.5000 0.5000  2 Pb 2.75
Tm 0.8174 0.8174 0.2730  4 Pb 2.94-3.13
Pb 0.0000 0.0000 0.5000  4 Tm 2.75-2.94
Pb 0.3913 0.3913 0.2176  3 Tm 3.13-3.31, 1 Pb 3.23
Pb 0.4216 0.4216 0.8651  1 Tm 3.02, 2 Pb 3.23
Pb 0.5784 0.5784 0.1349  1 Tm 3.02, 2 Pb 3.23
Pb 0.6087 0.6087 0.7824  3 Tm 3.13-3.31, 1 Pb 3.23

---

no.,DFT total energy (eV/atom)
1,-8.3157
2,-5.3714
3,-3.0624
4,-4.9846
5,-6.2728
6,-3.6850
7,-4.3059
8,-9.3275
9,-6.4782
10,-3.9209
11,-3.1739
12,-3.8628
13,-4.2720